Compound: LiGdPO
Source: OQMD
Functional: PBE
Structure: relaxed

Unit cell a=3.857 b=6.376 c=5.483 alpha=90.00 beta=90.00 gamma=90.00
Space group Pmc2_1 (No. 26)
Inequivalent atoms, fractional coordinates:
1 Li 0.000 0.172 0.000 [2 per cell]
2 Gd 0.500 0.243 0.548 [2 per cell]
3 P 0.000 0.487 0.276 [2 per cell]
4 O 0.500 0.073 0.899 [2 per cell]

## Properties
Energy relative to the lowest polymorph listed for this composition, eV/atom: 0.071

=====

Compound: NaAuSeO
Source: OQMD
Functional: PBE
Structure: relaxed

Unit cell a=4.159 b=4.159 c=8.789 alpha=90.00 beta=90.00 gamma=90.00
Space group P4/nmm (No. 129, origin choice 2)
Inequivalent atoms, fractional coordinates:
1 Na 0.250 0.750 0.000 [2 per cell]
2 Au 0.250 0.250 0.413 [2 per cell]
3 Se 0.250 0.250 0.782 [2 per cell]
4 O 0.250 0.750 0.500 [2 per cell]

## Properties
Energy relative to the lowest polymorph listed for this composition, eV/atom: 0.701

=====

Compound: RbGdSO
Source: OQMD
Functional: PBE
Structure: relaxed

Unit cell a=7.847 b=7.434 c=6.586 alpha=90.00 beta=104.33 gamma=90.00
Space group P2_1/c (No. 14)
Inequivalent atoms, fractional coordinates:
1 Rb 0.081 0.242 0.008 [4 per cell]
2 Gd 0.475 0.627 0.272 [4 per cell]
3 S 0.260 0.592 0.850 [4 per cell]
4 O 0.396 0.146 0.879 [4 per cell]

## Properties
Energy relative to the lowest polymorph listed for this composition, eV/atom: 0.000

=====

Compound: Sm2GdMg3CdIn2
Source: OQMD
Functional: PBE
Structure: relaxed

Unit cell a=4.695 b=13.131 c=7.649 alpha=90.00 beta=90.00 gamma=90.00
Space group Amm2 (No. 38)
Inequivalent atoms, fractional coordinates:
1 Sm 0.000 0.211 0.000 [4 per cell]
2 Gd 0.000 0.000 0.365 [2 per cell]
3 Mg 0.500 0.000 0.027 [2 per cell]
4 Mg 0.500 0.120 0.667 [4 per cell]
5 Cd 0.000 0.000 0.783 [2 per cell]
6 In 0.500 0.165 0.289 [4 per cell]

## Properties
E_tot, eV/cell: -57.13

=====

Compound: CsYHgS3
Source: OQMD
Functional: PBE
Structure: relaxed

Unit cell a=9.012 b=4.170 c=10.407 alpha=90.00 beta=110.80 gamma=90.00
Space group P2_1/m (No. 11)
Inequivalent atoms, fractional coordinates:
1 Cs 0.237 0.250 0.256 [2 per cell]
2 Y 0.328 0.750 0.868 [2 per cell]
3 Hg 0.090 0.250 0.620 [2 per cell]
4 S 0.117 0.250 0.867 [2 per cell]
5 S 0.226 0.750 0.559 [2 per cell]
6 S 0.475 0.750 0.141 [2 per cell]

## Properties
E_tot, eV/cell: -55.01

=====

Compound: Sn2IrSe
Source: OQMD
Functional: PBE
Structure: relaxed

Unit cell a=3.917 b=4.014 c=11.290 alpha=90.00 beta=90.00 gamma=90.00
Space group Pmc2_1 (No. 26)
Inequivalent atoms, fractional coordinates:
1 Sn 0.000 0.011 0.000 [2 per cell]
2 Sn 0.500 0.484 0.745 [2 per cell]
3 Ir 0.500 0.494 0.498 [2 per cell]
4 Se 0.000 0.018 0.251 [2 per cell]

## Properties
E_tot, eV/cell: -40.92

=====

Compound: LaNdZn2Pb2
Source: OQMD
Functional: PBE
Structure: relaxed

Unit cell a=4.6990 b=4.6990 c=16.7497 alpha=90.00 beta=90.00 gamma=120.00
Space group P6_3/mmc (No. 194)
Inequivalent atoms, fractional coordinates:
1 La 0.0000 0.0000 0.2500 [2 per cell]
2 Nd 0.0000 0.0000 0.0000 [2 per cell]
3 Zn 0.3333 0.6667 0.1612 [4 per cell]
4 Pb 0.3333 0.6667 0.6114 [4 per cell]

## Properties
Energy relative to the lowest polymorph listed for this composition, eV/atom: 0.024

=====

Compound: UCoSi
Source: OQMD
Functional: PBE
Structure: relaxed

Unit cell a=6.160 b=6.160 c=6.160 alpha=90.00 beta=90.00 gamma=90.00
Space group F-43m (No. 216)
Inequivalent atoms, fractional coordinates:
1 U 0.000 0.000 0.000 [4 per cell]
2 Co 0.250 0.250 0.750 [4 per cell]
3 Si 0.250 0.250 0.250 [4 per cell]

## Properties
E_tot, eV/cell: -87.52

=====

Compound: RbBeCoS3
Source: OQMD
Functional: PBE
Structure: relaxed

Unit cell a=3.515 b=14.638 c=9.044 alpha=90.00 beta=90.00 gamma=90.00
Space group Cmcm (No. 63)
Inequivalent atoms, fractional coordinates:
1 Rb 0.000 0.248 0.250 [4 per cell]
2 Be 0.000 0.028 0.750 [4 per cell]
3 Co 0.000 0.500 0.000 [4 per cell]
4 S 0.000 0.098 0.552 [8 per cell]
5 S 0.000 0.446 0.750 [4 per cell]

## Properties
E_tot, eV/cell: -114.44

=====

Compound: BeAsPt
Source: OQMD
Functional: PBE
Structure: relaxed

Unit cell a=5.613 b=5.613 c=5.613 alpha=90.00 beta=90.00 gamma=90.00
Space group F-43m (No. 216)
Inequivalent atoms, fractional coordinates:
1 Be 0.000 0.000 0.000 [4 per cell]
2 As 0.250 0.250 0.750 [4 per cell]
3 Pt 0.250 0.250 0.250 [4 per cell]

## Properties
E_tot, eV/cell: -59.81

=====

Compound: TbDy2Hg3PtAu2
Source: OQMD
Functional: PBE
Structure: relaxed

Unit cell a=3.798 b=13.570 c=7.827 alpha=90.00 beta=90.00 gamma=90.00
Space group Amm2 (No. 38)
Inequivalent atoms, fractional coordinates:
1 Tb 0.000 0.000 0.000 [2 per cell]
2 Dy 0.000 0.193 0.419 [4 per cell]
3 Hg 0.500 0.000 0.344 [2 per cell]
4 Hg 0.500 0.134 0.747 [4 per cell]
5 Pt 0.000 0.000 0.612 [2 per cell]
6 Au 0.500 0.167 0.113 [4 per cell]

## Properties
Formation energy from the elements, kJ per mole of atoms: -66.7

=====

Compound: CsCuSe
Source: OQMD
Functional: PBE
Structure: relaxed

Unit cell a=12.268 b=5.774 c=6.846 alpha=90.00 beta=90.00 gamma=90.00
Space group Pnma (No. 62)
Inequivalent atoms, fractional coordinates:
1 Cs 0.157 0.250 0.025 [4 per cell]
2 Cu 0.000 0.000 0.500 [4 per cell]
3 Se 0.082 0.750 0.288 [4 per cell]

## Properties
E_tot, eV/cell: -40.77